[1]
Entry from Alexandria via LeMat-Bulk: an optimized crystal structure of NpPaSi2 (PBE-GGA).

The structure in extended XYZ format:
```
4
Lattice="3.7868 0.0000 0.0000 0.0000 3.7868 0.0000 0.0000 0.0000 5.6046" Properties=species:S:1:pos:R:3 pbc="T T T"
Np 0.0000 0.0000 0.0000
Pa 0.0000 0.0000 2.8023
Si 1.8934 1.8934 1.3175
Si 1.8934 1.8934 4.2871
```

Computed properties:
* E_form (uncorrected): -1.171 eV per formula unit
* energy relative to the lowest polymorph listed for this composition: 0.00 eV/f.u.
* space-group type: P4/mmm (123)


[2]
Entry from Alexandria via LeMat-Bulk: an optimized crystal structure of NpPa2Si (PBE-GGA).

The structure in extended XYZ format:
```
4
Lattice="4.4935 0.0000 0.0000 0.0000 4.4935 0.0000 0.0000 0.0000 4.1471" Properties=species:S:1:pos:R:3 pbc="T T T"
Np 0.0000 0.0000 0.0000
Pa 0.0000 2.2467 2.0735
Pa 2.2467 0.0000 2.0735
Si 2.2467 2.2467 0.0000
```

Computed properties:
* E_form (uncorrected): -0.795 eV per formula unit
* energy relative to the lowest polymorph listed for this composition: 0.00 eV/f.u.
* space-group type: P4/mmm (123)


[3]
Entry from Alexandria via LeMat-Bulk: an optimized crystal structure of NpPa2Si6 (PBE-GGA).

The structure in extended XYZ format:
```
9
Lattice="7.0006 0.0000 0.0000 -3.5003 6.0627 0.0000 0.0000 0.0000 3.9156" Properties=species:S:1:pos:R:3 pbc="T T T"
Np 0.0000 0.0000 0.0000
Pa 0.0000 4.0418 0.0000
Pa 3.5003 2.0209 0.0000
Si -1.1651 2.0181 1.9578
Si -2.3352 4.0446 1.9578
Si 2.3303 0.0000 1.9578
Si 1.1651 2.0181 1.9578
Si 4.6704 0.0000 1.9578
Si 2.3352 4.0446 1.9578
```

Computed properties:
* E_form (uncorrected): -3.977 eV per formula unit
* space-group type: P6/mmm (191)


[4]
Entry from Alexandria via LeMat-Bulk: an optimized crystal structure of NpPa2Sn9 (PBE-GGA).

The structure in extended XYZ format:
```
12
Lattice="4.6507 0.0000 0.0000 0.0000 4.6507 0.0000 0.0000 0.0000 13.8871" Properties=species:S:1:pos:R:3 pbc="T T T"
Np 0.0000 0.0000 0.0000
Pa 0.0000 0.0000 4.6438
Pa 0.0000 0.0000 9.2433
Sn 0.0000 2.3254 2.3094
Sn 0.0000 2.3254 6.9436
Sn 0.0000 2.3254 11.5777
Sn 2.3254 0.0000 2.3094
Sn 2.3254 0.0000 6.9436
Sn 2.3254 0.0000 11.5777
Sn 2.3254 2.3254 0.0000
Sn 2.3254 2.3254 4.6183
Sn 2.3254 2.3254 9.2689
```

Computed properties:
* ΔE_f: -3.1 eV per formula unit
* space-group type: P4/mmm (123)


[5]
Entry from Alexandria via LeMat-Bulk: an optimized crystal structure of Np4PaSn (PBE-GGA).

The structure in extended XYZ format:
```
6
Lattice="0.0000 3.9938 3.9938 3.9938 0.0000 3.9938 3.9938 3.9938 0.0000" Properties=species:S:1:pos:R:3 pbc="T T T"
Np 3.0225 3.0225 3.0225
Np 4.9650 4.9650 3.0225
Np 4.9650 3.0225 4.9650
Np 3.0225 4.9650 4.9650
Pa 0.0000 0.0000 0.0000
Sn 5.9906 5.9906 5.9906
```

Computed properties:
* ΔE_f: 1.2 eV per formula unit
* space-group type: F-43m (216)


[6]
Entry from Alexandria via LeMat-Bulk: an optimized crystal structure of NpPaTiSn (PBE-GGA).

The structure in extended XYZ format:
```
4
Lattice="0.0000 3.5457 3.5457 3.5457 0.0000 3.5457 3.5457 3.5457 0.0000" Properties=species:S:1:pos:R:3 pbc="T T T"
Np 0.0000 0.0000 0.0000
Pa 5.3185 5.3185 5.3185
Ti 1.7728 1.7728 1.7728
Sn 3.5457 3.5457 3.5457
```

Computed properties:
* ΔE_f: 0.5 eV per formula unit
* space-group type: F-43m (216)


[7]
Entry from Alexandria via LeMat-Bulk: an optimized crystal structure of NpUPaSn (PBE-GGA).

The structure in extended XYZ format:
```
4
Lattice="0.0000 3.6292 3.6292 3.6292 0.0000 3.6292 3.6292 3.6292 0.0000" Properties=species:S:1:pos:R:3 pbc="T T T"
Np 0.0000 0.0000 0.0000
U 1.8146 1.8146 1.8146
Pa 3.6292 3.6292 3.6292
Sn 5.4437 5.4437 5.4437
```

Computed properties:
* ΔE_f: 1.0 eV per formula unit
* space-group type: F-43m (216)


[8]
Entry from Alexandria via LeMat-Bulk: an optimized crystal structure of NpPaTa2 (PBE-GGA).

The structure in extended XYZ format:
```
4
Lattice="3.3671 0.0000 0.0000 0.0000 3.3671 0.0000 0.0000 0.0000 7.5382" Properties=species:S:1:pos:R:3 pbc="T T T"
Np 0.0000 0.0000 0.0000
Pa 0.0000 0.0000 3.7691
Ta 1.6836 1.6836 1.5758
Ta 1.6836 1.6836 5.9624
```

Computed properties:
* ΔE_f: 2.2 eV per formula unit
* space-group type: P4/mmm (123)


It is found that the DFT total energy values, taken in the order of the records, are -34.5; -38.2; -68.4; -71.0; -64.1; -33.8; -36.8; -43.9 eV/cell.
It is found that the DOS at the Fermi energy values, taken in the order of the records, are 1.590; 2.390; 1.411; 1.483; 1.920; 2.578; 2.652; 2.371 states/eV per atom.